Record 1
! Er8MgPb2 GGA-PBE relaxed; values from VASP
&SYSTEM
  ibrav = 0, nat = 11, ntyp = 3
/
ATOMIC_SPECIES
Er 167.26 Er.upf
Mg 24.30 Mg.upf
Pb 207.20 Pb.upf
CELL_PARAMETERS angstrom
8.239 -3.253 0.000
8.239 3.253 0.000
-0.292 0.000 6.178
ATOMIC_POSITIONS angstrom
Er 1.180 0.000 2.289
Er 6.610 1.643 0.770
Er 4.797 0.000 3.989
Er 9.575 1.643 5.408
Er 6.610 -1.643 0.770
Er 11.388 0.000 2.188
Er 9.575 -1.643 5.408
Er 15.005 0.000 3.889
Mg 8.093 0.000 3.089
Pb 3.904 0.000 0.951
Pb 12.281 0.000 5.226
! - energy of formation (eV per atom) = -0.09

Record 2
! K3Ce3HoO8 GGA-PBE relaxed; values from VASP
&SYSTEM
  ibrav = 0, nat = 15, ntyp = 4
/
ATOMIC_SPECIES
K 39.10 K.upf
Ce 140.12 Ce.upf
Ho 164.93 Ho.upf
O 16.00 O.upf
CELL_PARAMETERS angstrom
3.582 2.068 6.323
-3.582 2.068 6.323
0.000 -4.137 6.323
ATOMIC_POSITIONS angstrom
K -1.791 -1.034 6.323
K -1.791 1.034 12.645
K 0.000 2.068 6.323
Ce -3.582 0.000 9.484
Ce -1.791 1.034 3.161
Ce 1.791 1.034 3.161
Ho 0.000 0.000 9.484
O 0.000 0.000 4.350
O -1.745 -1.007 10.581
O 0.000 -2.015 8.387
O -1.745 1.007 8.387
O 1.745 -1.007 10.581
O 0.000 2.015 10.581
O 1.745 1.007 8.387
O 0.000 0.000 14.618
! - formation energy from raw total energies (kJ per mole of atoms) = -272.7

Record 3
! KTc2Hg GGA-PBE relaxed; values from VASP
&SYSTEM
  ibrav = 0, nat = 4, ntyp = 3
/
ATOMIC_SPECIES
K 39.10 K.upf
Tc 98.00 Tc.upf
Hg 200.59 Hg.upf
CELL_PARAMETERS angstrom
3.471 -1.467 0.000
3.471 1.467 0.000
-0.662 0.000 9.262
ATOMIC_POSITIONS angstrom
K 0.000 0.000 0.000
Tc 1.081 0.000 6.396
Tc 2.894 0.000 5.104
Hg 5.107 0.000 2.867
! - energy of formation (eV per atom) = 0.61

Record 4
! PmMg2Ag2 GGA-PBE relaxed; values from VASP
&SYSTEM
  ibrav = 0, nat = 10, ntyp = 3
/
ATOMIC_SPECIES
Pm 145.00 Pm.upf
Mg 24.30 Mg.upf
Ag 107.87 Ag.upf
CELL_PARAMETERS angstrom
-2.250 2.250 11.548
2.250 -2.250 11.548
2.250 2.250 -11.548
ATOMIC_POSITIONS angstrom
Pm 0.000 0.000 2.957
Pm 0.000 0.000 20.140
Mg 2.250 0.000 0.000
Mg 0.000 0.000 7.272
Mg 0.000 2.250 0.000
Mg 0.000 0.000 15.825
Ag 2.250 0.000 5.774
Ag 0.000 0.000 9.906
Ag 0.000 0.000 13.191
Ag 0.000 2.250 5.774
! - energy of formation (eV per atom) = -0.16

Record 5
! InGaHg2Cl4 GGA-PBE relaxed; values from VASP
&SYSTEM
  ibrav = 0, nat = 16, ntyp = 4
/
ATOMIC_SPECIES
In 114.82 In.upf
Ga 69.72 Ga.upf
Hg 200.59 Hg.upf
Cl 35.45 Cl.upf
CELL_PARAMETERS angstrom
0.000 6.254 14.062
3.833 0.000 14.062
3.833 6.254 0.000
ATOMIC_POSITIONS angstrom
In 0.958 1.563 3.516
In 6.708 10.944 24.609
Ga 2.875 4.690 10.547
Ga 4.792 7.817 17.578
Hg 2.875 4.690 1.217
Hg 4.792 7.817 8.249
Hg 2.875 4.690 19.876
Hg 4.792 7.817 26.907
Cl 2.464 2.841 4.883
Cl 5.203 5.968 11.914
Cl 3.286 6.540 4.883
Cl 3.286 2.841 16.211
Cl 4.380 9.667 11.914
Cl 4.380 5.968 23.242
Cl 2.464 6.540 16.211
Cl 5.203 9.667 23.242
! - formation energy from raw total energies (kJ per mole of atoms) = -63.0

Record 6
! TbPr8Y4 GGA-PBE relaxed; values from VASP
&SYSTEM
  ibrav = 0, nat = 13, ntyp = 3
/
ATOMIC_SPECIES
Tb 158.93 Tb.upf
Pr 140.91 Pr.upf
Y 88.91 Y.upf
CELL_PARAMETERS angstrom
3.682 2.126 9.753
-3.682 2.126 9.753
0.000 -4.251 9.753
ATOMIC_POSITIONS angstrom
Tb 0.000 0.000 0.000
Pr 0.000 -1.931 11.782
Pr -1.672 0.966 11.782
Pr 0.000 0.000 8.409
Pr -1.672 -0.966 17.477
Pr 1.672 0.966 11.782
Pr 0.000 0.000 20.851
Pr 1.672 -0.966 17.477
Pr 0.000 1.931 17.477
Y -3.682 0.000 14.630
Y -1.841 1.063 4.877
Y 1.841 1.063 4.877
Y 0.000 0.000 14.630
! - energy of formation (eV per atom) = 0.18

Record order is preserved below.
Total moment: 0.000, 0.680, 0.000, 0.000, 0.000, 0.000 μB/f.u.